# PBE Al, optimized geometry
# Relative energy among the computed polymorphs   0.18 eV per formula unit
# DOS at the Fermi energy   4.09 states/eV/cell
# Raw total energy   -3.57 eV per atom
# Formation energy from the elements   0.2 eV/f.u.
data_Al
_cell_length_a 4.5091
_cell_length_b 4.5091
_cell_length_c 8.2395
_cell_angle_alpha 90.00
_cell_angle_beta 90.00
_cell_angle_gamma 120.00
_space_group_name_H-M_alt 'P 63/m m c'
_space_group_IT_number 194
_space_group_name_Hall '-P 6c 2c'
loop_
_atom_site_label
_atom_site_fract_x
_atom_site_fract_y
_atom_site_fract_z
_atom_site_occupancy
Al1 0.0000 0.0000 0.2500 1
Al2 0.3333 0.6667 0.0813 1
Al3 0.3333 0.6667 0.7500 1